The following is a DFT calculation (PBE) of a relaxed K5TeO5 crystal.

abc: 6.6173 6.6173 7.3359
angles: 107.01 107.01 45.07
Closest atoms and distances in Å follow each position.
Fractional positions:
K1 0.0000 0.0000 0.0000  4 O 2.62-2.67
K2 0.3155 0.3155 0.1982  3 O 2.61-2.62
K3 0.3266 0.3266 0.6506  5 O 2.62-2.81
K4 0.6734 0.6734 0.3494  5 O 2.62-2.81
K5 0.6845 0.6845 0.8018  3 O 2.61-2.62
Te1 0.0000 0.0000 0.5000  4 O 2.05-2.07
O1 0.1230 0.1230 0.3648  1 Te 2.05
O2 0.1274 0.1274 0.7645  1 Te 2.07
O3 0.5000 0.5000 0.5000  2 Te 2.54, 4 K 2.61-2.68
O4 0.8726 0.8726 0.2355  1 Te 2.07
O5 0.8770 0.8770 0.6352  1 Te 2.05

Properties
- N(E_F): 2.38 states/eV per cell
- E_form (uncorrected): -1.22 eV/atom
- Space-group type: C2/m, No. 12